# 1
This record from Alexandria describes an optimized crystal structure of Rb3MgBr6. The functional is PBE-GGA. Values from VASP.

```
&SYSTEM
  ibrav = 0, nat = 10, ntyp = 3
/
ATOMIC_SPECIES
Rb 85.47 Rb.upf
Mg 24.30 Mg.upf
Br 79.90 Br.upf
ATOMIC_POSITIONS angstrom
Rb 0.000 0.000 0.000
Rb 2.950 2.950 2.950
Rb 8.851 8.851 8.851
Mg 5.901 5.901 5.901
Br 5.901 5.901 3.251
Br 5.901 3.251 5.901
Br 8.550 5.901 5.901
Br 3.251 5.901 5.901
Br 5.901 8.550 5.901
Br 5.901 5.901 8.550
CELL_PARAMETERS angstrom
0.000 5.901 5.901
5.901 0.000 5.901
5.901 5.901 0.000
```

Output
magnetic moment: 1.0 μB/f.u.
uncorrected energy: -2.8231 eV per atom
ΔE to the lowest computed polymorph: 102 meV per atom

# 2
This record from Alexandria describes an optimized crystal structure of RbMgBr3. The functional is PBE-GGA. Values from VASP.

```
&SYSTEM
  ibrav = 0, nat = 20, ntyp = 3
/
ATOMIC_SPECIES
Rb 85.47 Rb.upf
Mg 24.30 Mg.upf
Br 79.90 Br.upf
ATOMIC_POSITIONS angstrom
Rb 0.540 1.028 2.760
Rb 4.340 3.084 10.691
Rb 5.420 1.028 5.171
Rb 9.220 3.084 13.102
Mg 1.540 3.084 7.087
Mg 3.340 1.028 15.018
Mg 6.420 3.084 0.844
Mg 8.221 1.028 8.776
Br 0.217 3.084 9.464
Br 1.769 3.084 0.059
Br 2.277 1.028 12.649
Br 2.603 3.084 4.718
Br 3.111 1.028 7.990
Br 4.663 1.028 1.533
Br 5.097 3.084 14.330
Br 6.649 3.084 7.872
Br 7.157 1.028 11.145
Br 7.483 3.084 3.213
Br 7.991 1.028 15.803
Br 9.543 1.028 6.398
CELL_PARAMETERS angstrom
9.760 0.000 0.000
0.000 4.112 0.000
0.000 0.000 15.862
```

Output
magnetic moment: 0.0 μB/f.u.
uncorrected energy: -3.1089 eV per atom

# 3
This record from Alexandria describes an optimized crystal structure of Rb2MgBr2. The functional is PBE-GGA. Values from VASP.

```
&SYSTEM
  ibrav = 0, nat = 5, ntyp = 3
/
ATOMIC_SPECIES
Rb 85.47 Rb.upf
Mg 24.30 Mg.upf
Br 79.90 Br.upf
ATOMIC_POSITIONS angstrom
Rb 0.000 0.000 2.940
Rb 0.000 0.000 11.474
Mg 0.000 0.000 7.207
Br 3.310 0.000 3.604
Br 0.000 3.310 3.604
CELL_PARAMETERS angstrom
-3.310 3.310 7.207
3.310 -3.310 7.207
3.310 3.310 -7.207
```

Output
magnetic moment: 0.0 μB/f.u.
uncorrected energy: -2.3761 eV per atom
ΔE to the lowest computed polymorph: 46 meV per atom

# 4
This record from Alexandria describes an optimized crystal structure of Rb3MgBr6. The functional is PBE-GGA. Values from VASP.

```
&SYSTEM
  ibrav = 0, nat = 20, ntyp = 3
/
ATOMIC_SPECIES
Rb 85.47 Rb.upf
Mg 24.30 Mg.upf
Br 79.90 Br.upf
ATOMIC_POSITIONS angstrom
Rb 7.418 7.402 3.051
Rb 4.712 2.349 3.185
Rb 4.712 -2.349 0.133
Rb 10.124 2.349 3.185
Rb 10.124 -2.349 0.133
Rb 7.418 -7.402 0.000
Mg 7.418 4.056 0.543
Mg 7.418 -4.056 3.595
Br 5.299 5.254 1.190
Br 2.437 0.029 1.611
Br 2.437 -0.029 4.662
Br 7.418 4.175 4.150
Br 9.537 5.254 1.190
Br 7.418 1.602 1.068
Br 7.418 -1.602 4.119
Br 5.299 -5.254 4.242
Br 7.418 -4.175 1.099
Br 12.399 0.029 1.611
Br 12.399 -0.029 4.662
Br 9.537 -5.254 4.242
CELL_PARAMETERS angstrom
7.418 -9.610 0.000
7.418 9.610 0.000
0.000 0.000 6.103
```

Output
magnetic moment: 0.0 μB/f.u.
uncorrected energy: -2.9251 eV per atom
ΔE to the lowest computed polymorph: 0 meV per atom

# 5
This record from Alexandria describes an optimized crystal structure of Rb2Mg2Br. The functional is PBE-GGA. Values from VASP.

```
&SYSTEM
  ibrav = 0, nat = 5, ntyp = 3
/
ATOMIC_SPECIES
Rb 85.47 Rb.upf
Mg 24.30 Mg.upf
Br 79.90 Br.upf
ATOMIC_POSITIONS angstrom
Rb 3.794 0.000 2.315
Rb 0.000 3.794 2.315
Mg 0.000 0.000 1.678
Mg 0.000 0.000 7.581
Br 0.000 0.000 4.630
CELL_PARAMETERS angstrom
-3.794 3.794 4.630
3.794 -3.794 4.630
3.794 3.794 -4.630
```

Output
magnetic moment: 0.0 μB/f.u.
uncorrected energy: -1.4567 eV per atom
ΔE to the lowest computed polymorph: 77 meV per atom

# 6
This record from Alexandria describes an optimized crystal structure of Rb3MgBr. The functional is PBE-GGA. Values from VASP.

```
&SYSTEM
  ibrav = 0, nat = 5, ntyp = 3
/
ATOMIC_SPECIES
Rb 85.47 Rb.upf
Mg 24.30 Mg.upf
Br 79.90 Br.upf
ATOMIC_POSITIONS angstrom
Rb 0.000 0.000 3.353
Rb 0.000 3.353 0.000
Rb 3.353 0.000 0.000
Mg 3.353 3.353 3.353
Br 0.000 0.000 0.000
CELL_PARAMETERS angstrom
6.706 0.000 0.000
0.000 6.706 0.000
0.000 0.000 6.706
```

Output
magnetic moment: 0.0 μB/f.u.
uncorrected energy: -1.7152 eV per atom
ΔE to the lowest computed polymorph: 0 meV per atom

Record-wise uncorrected formation energy values, in meV per atom: -1370, -1593, -1001, -1472, -97, -481